Arrangement 1

# TcAg3Cl, optimized geometry, DFT PBE
# Crystal system: cubic
# Magnetic moment: 3.64 μB per cell
data_TcAg3Cl
_chemical_formula_sum 'Tc1 Ag3 Cl1'
_space_group_name_H-M_alt 'P m -3 m'
_space_group_IT_number 221
_space_group_name_Hall '-P 4 2 3'
_cell_length_a 4.9463
_cell_length_b 4.9463
_cell_length_c 4.9463
_cell_angle_alpha 90.00
_cell_angle_beta 90.00
_cell_angle_gamma 90.00
loop_
_atom_site_label
_atom_site_type_symbol
_atom_site_fract_x
_atom_site_fract_y
_atom_site_fract_z
_atom_site_occupancy
Tc1 Tc 0.0000 0.0000 0.0000 1
Ag1 Ag 0.0000 0.5000 0.5000 1
Cl1 Cl 0.5000 0.5000 0.5000 1

---

Arrangement 2

# TcAg3Cl, optimized geometry, DFT PBE
# Crystal system: cubic
# Magnetic moment: 3.14 μB per cell
data_TcAg3Cl
_chemical_formula_sum 'Tc1 Ag3 Cl1'
_space_group_name_H-M_alt 'P m -3 m'
_space_group_IT_number 221
_space_group_name_Hall '-P 4 2 3'
_cell_length_a 5.2392
_cell_length_b 5.2392
_cell_length_c 5.2392
_cell_angle_alpha 90.00
_cell_angle_beta 90.00
_cell_angle_gamma 90.00
loop_
_atom_site_label
_atom_site_type_symbol
_atom_site_fract_x
_atom_site_fract_y
_atom_site_fract_z
_atom_site_occupancy
Tc1 Tc 0.0000 0.0000 0.0000 1
Ag1 Ag 0.0000 0.0000 0.5000 1
Cl1 Cl 0.5000 0.5000 0.5000 1

---

What is the stability order? It is arrangement 2, arrangement 1, from most stable to least stable.

---

Arrangement 1

# Tc2Ag2Cl, optimized geometry, DFT PBE
# Crystal system: tetragonal
# Magnetic moment: 0.21 μB per cell
data_Tc2Ag2Cl
_chemical_formula_sum 'Tc4 Ag4 Cl2'
_space_group_name_H-M_alt 'P 4/m b m'
_space_group_IT_number 127
_space_group_name_Hall '-P 4 2ab'
_cell_length_a 8.4823
_cell_length_b 8.4823
_cell_length_c 2.7167
_cell_angle_alpha 90.00
_cell_angle_beta 90.00
_cell_angle_gamma 90.00
loop_
_atom_site_label
_atom_site_type_symbol
_atom_site_fract_x
_atom_site_fract_y
_atom_site_fract_z
_atom_site_occupancy
Tc1 Tc 0.0918 0.4082 0.0000 1
Ag1 Ag 0.1957 0.6957 0.5000 1
Cl1 Cl 0.0000 0.0000 0.5000 1

---

Arrangement 2

# Tc2Ag2Cl, optimized geometry, DFT PBE
# Crystal system: tetragonal
# Magnetic moment: 0.00 μB per cell
data_Tc2Ag2Cl
_chemical_formula_sum 'Tc4 Ag4 Cl2'
_space_group_name_H-M_alt 'I 4/m m m'
_space_group_IT_number 139
_space_group_name_Hall '-I 4 2'
_cell_length_a 3.4542
_cell_length_b 3.4542
_cell_length_c 16.2680
_cell_angle_alpha 90.00
_cell_angle_beta 90.00
_cell_angle_gamma 90.00
loop_
_atom_site_label
_atom_site_type_symbol
_atom_site_fract_x
_atom_site_fract_y
_atom_site_fract_z
_atom_site_occupancy
Tc1 Tc 0.0000 0.5000 0.2500 1
Ag1 Ag 0.0000 0.0000 0.1058 1
Cl1 Cl 0.0000 0.0000 0.5000 1

---

What is the stability order? It is arrangement 2, arrangement 1, from most stable to least stable.

---

Arrangement 1

# Ag3TeCl, optimized geometry, DFT PBE
# Crystal system: cubic
# Magnetic moment: 0.00 μB per cell
data_Ag3TeCl
_chemical_formula_sum 'Ag3 Te1 Cl1'
_space_group_name_H-M_alt 'P m -3 m'
_space_group_IT_number 221
_space_group_name_Hall '-P 4 2 3'
_cell_length_a 5.3128
_cell_length_b 5.3128
_cell_length_c 5.3128
_cell_angle_alpha 90.00
_cell_angle_beta 90.00
_cell_angle_gamma 90.00
loop_
_atom_site_label
_atom_site_type_symbol
_atom_site_fract_x
_atom_site_fract_y
_atom_site_fract_z
_atom_site_occupancy
Ag1 Ag 0.0000 0.0000 0.5000 1
Te1 Te 0.0000 0.0000 0.0000 1
Cl1 Cl 0.5000 0.5000 0.5000 1

---

Arrangement 2

# Ag3TeCl, optimized geometry, DFT PBE
# Crystal system: monoclinic
# Magnetic moment: 0.00 μB per cell
data_Ag3TeCl
_chemical_formula_sum 'Ag12 Te4 Cl4'
_space_group_name_H-M_alt 'P 1 21/c 1'
_space_group_IT_number 14
_space_group_name_Hall '-P 2ybc'
_cell_length_a 9.2365
_cell_length_b 6.3234
_cell_length_c 9.5989
_cell_angle_alpha 90.00
_cell_angle_beta 111.27
_cell_angle_gamma 90.00
loop_
_atom_site_label
_atom_site_type_symbol
_atom_site_fract_x
_atom_site_fract_y
_atom_site_fract_z
_atom_site_occupancy
Ag1 Ag 0.0021 0.1198 0.1220 1
Ag2 Ag 0.1255 0.5584 0.1360 1
Ag3 Ag 0.3184 0.5503 0.6121 1
Te1 Te 0.1771 0.2312 0.4209 1
Cl1 Cl 0.4021 0.6794 0.3120 1

---

What is the stability order? It is arrangement 2, arrangement 1, from most stable to least stable.

---

Arrangement 1

# AgTeCl3, optimized geometry, DFT PBE
# Crystal system: cubic
# Magnetic moment: 2.86 μB per cell
data_AgTeCl3
_chemical_formula_sum 'Ag1 Te1 Cl3'
_space_group_name_H-M_alt 'P m -3 m'
_space_group_IT_number 221
_space_group_name_Hall '-P 4 2 3'
_cell_length_a 5.1375
_cell_length_b 5.1375
_cell_length_c 5.1375
_cell_angle_alpha 90.00
_cell_angle_beta 90.00
_cell_angle_gamma 90.00
loop_
_atom_site_label
_atom_site_type_symbol
_atom_site_fract_x
_atom_site_fract_y
_atom_site_fract_z
_atom_site_occupancy
Ag1 Ag 0.0000 0.0000 0.0000 1
Te1 Te 0.5000 0.5000 0.5000 1
Cl1 Cl 0.0000 0.0000 0.5000 1

---

Arrangement 2

# AgTeCl3, optimized geometry, DFT PBE
# Crystal system: triclinic
# Magnetic moment: 0.00 μB per cell
data_AgTeCl3
_chemical_formula_sum 'Ag2 Te2 Cl6'
_space_group_name_H-M_alt 'P 1'
_space_group_IT_number 1
_space_group_name_Hall 'P 1'
_cell_length_a 4.2851
_cell_length_b 8.4074
_cell_length_c 8.9017
_cell_angle_alpha 65.67
_cell_angle_beta 89.97
_cell_angle_gamma 75.25
loop_
_atom_site_label
_atom_site_type_symbol
_atom_site_fract_x
_atom_site_fract_y
_atom_site_fract_z
_atom_site_occupancy
Ag1 Ag 0.0000 0.0000 0.0000 1
Ag2 Ag 0.2359 0.5354 0.9090 1
Te1 Te 0.4031 0.1961 0.5826 1
Te2 Te 0.7550 0.4916 0.4151 1
Cl1 Cl 0.0644 0.8836 0.7674 1
Cl2 Cl 0.1256 0.7601 0.2941 1
Cl3 Cl 0.3959 0.2111 0.9087 1
Cl4 Cl 0.4511 0.1032 0.3659 1
Cl5 Cl 0.7205 0.5629 0.6596 1
Cl6 Cl 0.7689 0.4676 0.1297 1

---

What is the stability order? It is arrangement 2, arrangement 1, from most stable to least stable.

---

Arrangement 1

# Ag3TeCl2, optimized geometry, DFT PBE
# Crystal system: orthorhombic
# Magnetic moment: 0.00 μB per cell
data_Ag3TeCl2
_chemical_formula_sum 'Ag12 Te4 Cl8'
_space_group_name_H-M_alt 'P n m a'
_space_group_IT_number 62
_space_group_name_Hall '-P 2ac 2n'
_cell_length_a 6.6742
_cell_length_b 12.2548
_cell_length_c 7.6423
_cell_angle_alpha 90.00
_cell_angle_beta 90.00
_cell_angle_gamma 90.00
loop_
_atom_site_label
_atom_site_type_symbol
_atom_site_fract_x
_atom_site_fract_y
_atom_site_fract_z
_atom_site_occupancy
Ag1 Ag 0.0043 0.0671 0.2469 1
Ag2 Ag 0.2492 0.2500 0.6592 1
Te1 Te 0.2469 0.7500 0.8063 1
Cl1 Cl 0.2474 0.0823 0.8693 1

---

Arrangement 2

# Ag3TeCl2, optimized geometry, DFT PBE
# Crystal system: orthorhombic
# Magnetic moment: 0.00 μB per cell
data_Ag3TeCl2
_chemical_formula_sum 'Ag6 Te2 Cl4'
_space_group_name_H-M_alt 'I m m m'
_space_group_IT_number 71
_space_group_name_Hall '-I 2 2'
_cell_length_a 3.6863
_cell_length_b 5.8253
_cell_length_c 12.9343
_cell_angle_alpha 90.00
_cell_angle_beta 90.00
_cell_angle_gamma 90.00
loop_
_atom_site_label
_atom_site_type_symbol
_atom_site_fract_x
_atom_site_fract_y
_atom_site_fract_z
_atom_site_occupancy
Ag1 Ag 0.0000 0.0000 0.0000 1
Ag2 Ag 0.0000 0.0000 0.3317 1
Te1 Te 0.0000 0.5000 0.0000 1
Cl1 Cl 0.0000 0.5000 0.3200 1

---

What is the stability order? It is arrangement 1, arrangement 2, from most stable to least stable.

---

Arrangement 1

# AgTeCl5, optimized geometry, DFT PBE
# Crystal system: monoclinic
# Magnetic moment: 0.00 μB per cell
data_AgTeCl5
_chemical_formula_sum 'Ag4 Te4 Cl20'
_space_group_name_H-M_alt 'C 1 2/c 1'
_space_group_IT_number 15
_space_group_name_Hall '-C 2yc'
_cell_length_a 10.1824
_cell_length_b 10.0524
_cell_length_c 10.0728
_cell_angle_alpha 90.00
_cell_angle_beta 117.99
_cell_angle_gamma 90.00
loop_
_atom_site_label
_atom_site_type_symbol
_atom_site_fract_x
_atom_site_fract_y
_atom_site_fract_z
_atom_site_occupancy
Ag1 Ag 0.0000 0.0984 0.2500 1
Te1 Te 0.2500 0.2500 0.0000 1
Cl1 Cl 0.0000 0.3026 0.7500 1
Cl2 Cl 0.1157 0.2895 0.1533 1
Cl3 Cl 0.1986 0.0009 0.9927 1

---

Arrangement 2

# AgTeCl5, optimized geometry, DFT PBE
# Crystal system: monoclinic
# Magnetic moment: 0.00 μB per cell
data_AgTeCl5
_chemical_formula_sum 'Ag4 Te4 Cl20'
_space_group_name_H-M_alt 'C 1 c 1'
_space_group_IT_number 9
_space_group_name_Hall 'C -2yc'
_cell_length_a 11.4377
_cell_length_b 9.3613
_cell_length_c 9.3413
_cell_angle_alpha 90.00
_cell_angle_beta 110.78
_cell_angle_gamma 90.00
loop_
_atom_site_label
_atom_site_type_symbol
_atom_site_fract_x
_atom_site_fract_y
_atom_site_fract_z
_atom_site_occupancy
Ag1 Ag 0.0000 0.1045 0.0000 1
Te1 Te 0.2442 0.2536 0.7496 1
Cl1 Cl 0.0788 0.3160 0.8657 1
Cl2 Cl 0.1768 0.0103 0.2319 1
Cl3 Cl 0.3123 0.4853 0.2753 1
Cl4 Cl 0.3849 0.2067 0.9960 1
Cl5 Cl 0.4097 0.1922 0.6403 1

---

What is the stability order? It is arrangement 2, arrangement 1, from most stable to least stable.

---

Arrangement 1

# Ag4TeCl, optimized geometry, DFT PBE
# Crystal system: monoclinic
# Magnetic moment: 0.00 μB per cell
data_Ag4TeCl
_chemical_formula_sum 'Ag16 Te4 Cl4'
_space_group_name_H-M_alt 'C 1 2/c 1'
_space_group_IT_number 15
_space_group_name_Hall '-C 2yc'
_cell_length_a 8.4754
_cell_length_b 11.3123
_cell_length_c 6.7682
_cell_angle_alpha 90.00
_cell_angle_beta 120.87
_cell_angle_gamma 90.00
loop_
_atom_site_label
_atom_site_type_symbol
_atom_site_fract_x
_atom_site_fract_y
_atom_site_fract_z
_atom_site_occupancy
Ag1 Ag 0.1478 0.0439 0.4795 1
Ag2 Ag 0.1636 0.2438 0.2376 1
Te1 Te 0.0000 0.1799 0.7500 1
Cl1 Cl 0.0000 0.4663 0.2500 1

---

Arrangement 2

# Ag4TeCl, optimized geometry, DFT PBE
# Crystal system: cubic
# Magnetic moment: 0.00 μB per cell
data_Ag4TeCl
_chemical_formula_sum 'Ag16 Te4 Cl4'
_space_group_name_H-M_alt 'F -4 3 m'
_space_group_IT_number 216
_space_group_name_Hall 'F -4 2 3'
_cell_length_a 8.0005
_cell_length_b 8.0005
_cell_length_c 8.0005
_cell_angle_alpha 90.00
_cell_angle_beta 90.00
_cell_angle_gamma 90.00
loop_
_atom_site_label
_atom_site_type_symbol
_atom_site_fract_x
_atom_site_fract_y
_atom_site_fract_z
_atom_site_occupancy
Ag1 Ag 0.1251 0.1251 0.1251 1
Te1 Te 0.0000 0.0000 0.5000 1
Cl1 Cl 0.2500 0.2500 0.7500 1

---

What is the stability order? It is arrangement 1, arrangement 2, from most stable to least stable.

---

Arrangement 1

# TiAg3Cl, optimized geometry, DFT PBE
# Crystal system: cubic
# Magnetic moment: 0.00 μB per cell
data_TiAg3Cl
_chemical_formula_sum 'Ti1 Ag3 Cl1'
_space_group_name_H-M_alt 'P m -3 m'
_space_group_IT_number 221
_space_group_name_Hall '-P 4 2 3'
_cell_length_a 5.1597
_cell_length_b 5.1597
_cell_length_c 5.1597
_cell_angle_alpha 90.00
_cell_angle_beta 90.00
_cell_angle_gamma 90.00
loop_
_atom_site_label
_atom_site_type_symbol
_atom_site_fract_x
_atom_site_fract_y
_atom_site_fract_z
_atom_site_occupancy
Ti1 Ti 0.0000 0.0000 0.0000 1
Ag1 Ag 0.0000 0.0000 0.5000 1
Cl1 Cl 0.5000 0.5000 0.5000 1

---

Arrangement 2

# TiAg3Cl, optimized geometry, DFT PBE
# Crystal system: cubic
# Magnetic moment: 2.78 μB per cell
data_TiAg3Cl
_chemical_formula_sum 'Ti1 Ag3 Cl1'
_space_group_name_H-M_alt 'P m -3 m'
_space_group_IT_number 221
_space_group_name_Hall '-P 4 2 3'
_cell_length_a 4.9726
_cell_length_b 4.9726
_cell_length_c 4.9726
_cell_angle_alpha 90.00
_cell_angle_beta 90.00
_cell_angle_gamma 90.00
loop_
_atom_site_label
_atom_site_type_symbol
_atom_site_fract_x
_atom_site_fract_y
_atom_site_fract_z
_atom_site_occupancy
Ti1 Ti 0.0000 0.0000 0.0000 1
Ag1 Ag 0.0000 0.5000 0.5000 1
Cl1 Cl 0.5000 0.5000 0.5000 1

---

What is the stability order? It is arrangement 2, arrangement 1, from most stable to least stable.